15
Lattice="6.404 0.000 0.000 -3.202 5.546 0.000 0.000 0.000 7.832" Properties=species:S:1:pos:R:3 comment="Ba3PrPa2O9 PBE optimized geometry" rho_g_cm3=6.9 magmom_total_mub_per_fu=1.00 volume_a3_per_fu=278.16 pbc="T T T"
O 1.666 0.962 5.274
O 1.601 2.773 0.000
O 4.738 0.962 5.274
Ba 0.000 3.697 5.128
Pr 0.000 0.000 3.916
O 3.202 0.000 0.000
O -1.601 2.773 0.000
O 0.000 1.924 2.558
Ba 3.202 1.849 2.704
Pa 0.000 3.697 1.284
O 3.202 3.622 5.274
Ba 0.000 0.000 0.000
Pa 3.202 1.849 6.549
O -1.536 4.584 2.558
O 1.536 4.584 2.558

12
Lattice="-0.569 -2.343 -5.526 4.910 -1.193 3.289 -3.429 -6.057 2.922" Properties=species:S:1:pos:R:3 comment="BaPaPt2O8 PBE optimized geometry" rho_g_cm3=6.2 magmom_total_mub_per_fu=3.08 volume_a3_per_fu=237.63 pbc="T T T"
Pt 0.472 -3.346 -1.919
Ba 0.000 0.000 0.000
O -0.318 -2.854 -0.164
Pt 0.439 -6.248 2.604
O -0.955 -3.940 -3.165
O -2.120 -7.925 0.290
Pa -1.715 -3.029 1.461
O -0.902 -4.802 2.366
O 1.866 -5.653 3.850
O 1.813 -4.792 -1.680
O 1.228 -6.740 0.850
O 3.031 -1.669 0.395

| no. | uncorrected formation energy (eV/atom) |
| --- | --- |
| 1 | -3.194 |
| 2 | -1.274 |